# 1
A plane-wave DFT calculation with PBE-GGA was carried out for LiAcHoS3 after structural relaxation.

Properties
Final energy   -5.694 eV per atom

Geometry as CIF:
```
data_LiAcHoS3
_space_group_name_H-M_alt 'P 1 21/m 1'
_space_group_IT_number 11
_space_group_name_Hall '-P 2yb'
_cell_length_a 8.2923
_cell_length_b 3.9674
_cell_length_c 8.6770
_cell_angle_alpha 90.00
_cell_angle_beta 104.38
_cell_angle_gamma 90.00
loop_
_atom_site_label
_atom_site_type_symbol
_atom_site_fract_x
_atom_site_fract_y
_atom_site_fract_z
Li1 Li 0.0890 0.2500 0.0884
Ac1 Ac 0.1924 0.2500 0.7283
Ho1 Ho 0.3349 0.7500 0.3421
S1 S 0.1052 0.2500 0.3651
S2 S 0.2105 0.7500 0.0112
S3 S 0.4426 0.7500 0.6713
```



# 2
A plane-wave DFT calculation with PBE-GGA was carried out for RbTcO4 after structural relaxation.

Properties
Energy above the most stable polymorph in this dataset   0.0 kJ/mol of atoms
Final energy   -6.889 eV per atom

Geometry as CIF:
```
data_RbTcO4
_space_group_name_H-M_alt 'I 41/a'
_space_group_IT_number 88
_cell_length_a 5.9436
_cell_length_b 5.9436
_cell_length_c 13.6557
_cell_angle_alpha 90.00
_cell_angle_beta 90.00
_cell_angle_gamma 90.00
loop_
_space_group_symop_operation_xyz
'x,y,z'
'-x,-y,-z'
'-y+3/4,x+1/4,z+1/4'
'y+3/4,-x+1/4,-z+1/4'
'-x+1/2,-y,z+1/2'
'x+1/2,y,-z+1/2'
'y+3/4,-x+3/4,z+3/4'
'-y+3/4,x+3/4,-z+3/4'
'x+1/2,y+1/2,z+1/2'
'-x+1/2,-y+1/2,-z+1/2'
'-y+1/4,x+3/4,z+3/4'
'y+1/4,-x+3/4,-z+3/4'
'-x,-y+1/2,z'
'x,y+1/2,-z'
'y+1/4,-x+1/4,z+1/4'
'-y+1/4,x+1/4,-z+1/4'
loop_
_atom_site_label
_atom_site_type_symbol
_atom_site_fract_x
_atom_site_fract_y
_atom_site_fract_z
Rb1 Rb 0.0000 0.2500 0.1250
Tc1 Tc 0.0000 0.2500 0.6250
O1 O 0.1021 0.0320 0.6979
```



no.,Fermi-level density of states (states/eV per cell)
1,4.9
2,0.0